Entry 1:
An optimized crystal structure of AcPaPd2, computed with PBE.

Structure (POSCAR):
```
AcPaPd2
1.0
3.655 0.000 0.000
0.000 3.655 0.000
0.000 0.000 7.432
Ac Pa Pd
1 1 2
Direct
0.000 0.000 0.000
0.000 0.000 0.500
0.500 0.500 0.302
0.500 0.500 0.698
```

## Properties
- energy of formation from the pure elements (meV per atom) = -507
- energy relative to the lowest polymorph listed for this composition (eV/f.u.) = 0.00
- volume (A^3/atom) = 24.83
- uncorrected energy (eV per cell) = -26.02

***

Entry 2:
An optimized crystal structure of Ac2PaPd, computed with PBE.

Structure (POSCAR):
```
Ac2PaPd
1.0
1.804 1.041 11.218
-1.804 1.041 11.218
0.000 -2.083 11.218
Ac Pa Pd
2 1 1
Direct
0.100 0.100 0.100
0.900 0.900 0.900
0.000 0.000 0.000
0.500 0.500 0.500
```

## Properties
- energy of formation from the pure elements (meV per atom) = 313
- volume (A^3/atom) = 31.61
- uncorrected energy (eV per cell) = -21.66

***

Entry 3:
An optimized crystal structure of AcPaPd, computed with PBE.

Structure (POSCAR):
```
AcPaPd
1.0
-1.863 1.863 6.142
1.863 -1.863 6.142
1.863 1.863 -6.142
Ac Pa Pd
1 1 1
Direct
0.000 0.000 0.000
0.291 0.291 0.000
0.698 0.698 0.000
```

## Properties
- energy of formation from the pure elements (meV per atom) = -187
- energy relative to the lowest polymorph listed for this composition (eV/f.u.) = 0.08
- volume (A^3/atom) = 28.42
- uncorrected energy (eV per cell) = -19.36

***

Entry 4:
An optimized crystal structure of AcPaPd, computed with PBE.

Structure (POSCAR):
```
AcPaPd
1.0
3.811 0.000 0.000
0.000 3.901 0.000
-1.877 0.000 11.896
Ac Pa Pd
2 2 2
Direct
0.185 0.250 0.368
0.815 0.750 0.632
0.421 0.250 0.847
0.579 0.750 0.153
0.045 0.250 0.082
0.955 0.750 0.918
```

## Properties
- energy of formation from the pure elements (meV per atom) = -212
- energy relative to the lowest polymorph listed for this composition (eV/f.u.) = 0.00
- volume (A^3/atom) = 29.48
- uncorrected energy (eV per cell) = -38.87

***

Entry 5:
An optimized crystal structure of AcPaPd2, computed with PBE.

Structure (POSCAR):
```
AcPaPd2
1.0
0.000 3.655 3.655
3.655 0.000 3.655
3.655 3.655 0.000
Ac Pa Pd
1 1 2
Direct
0.000 0.000 0.000
0.500 0.500 0.500
0.250 0.250 0.250
0.750 0.750 0.750
```

## Properties
- energy of formation from the pure elements (meV per atom) = -361
- energy relative to the lowest polymorph listed for this composition (eV/f.u.) = 0.59
- volume (A^3/atom) = 24.42
- uncorrected energy (eV per cell) = -25.43

***

Entry 6:
An optimized crystal structure of AcPaPd2, computed with PBE.

Structure (POSCAR):
```
AcPaPd2
1.0
5.283 0.000 0.000
0.000 5.283 0.000
0.000 0.000 3.490
Ac Pa Pd
1 1 2
Direct
0.000 0.000 0.000
0.500 0.500 0.000
0.000 0.500 0.500
0.500 0.000 0.500
```

## Properties
- energy of formation from the pure elements (meV per atom) = -388
- energy relative to the lowest polymorph listed for this composition (eV/f.u.) = 0.48
- volume (A^3/atom) = 24.35
- uncorrected energy (eV per cell) = -25.54

***

Entry 7:
An optimized crystal structure of AcPaPd2, computed with PBE.

Structure (POSCAR):
```
AcPaPd2
1.0
2.041 1.178 7.468
-2.041 1.178 7.468
0.000 -2.356 7.468
Ac Pa Pd
1 1 2
Direct
0.000 0.000 0.000
0.500 0.500 0.500
0.239 0.239 0.239
0.761 0.761 0.761
```

## Properties
- energy of formation from the pure elements (meV per atom) = -490
- energy relative to the lowest polymorph listed for this composition (eV/f.u.) = 0.07
- volume (A^3/atom) = 26.93
- uncorrected energy (eV per cell) = -25.95

***

Entry 8:
An optimized crystal structure of AcPa2Pd, computed with PBE.

Structure (POSCAR):
```
AcPa2Pd
1.0
1.684 0.972 11.087
-1.684 0.972 11.087
0.000 -1.944 11.087
Ac Pa Pd
1 2 1
Direct
0.000 0.000 0.000
0.100 0.100 0.100
0.900 0.900 0.900
0.500 0.500 0.500
```

## Properties
- energy of formation from the pure elements (meV per atom) = 271
- volume (A^3/atom) = 27.22
- uncorrected energy (eV per cell) = -27.21

***

Entry 9:
An optimized crystal structure of Ac2PaPd12Pt3, computed with PBE.

Structure (POSCAR):
```
Ac2PaPd12Pt3
1.0
4.217 2.435 6.633
-4.217 2.435 6.633
0.000 -4.870 6.633
Ac Pa Pd Pt
2 1 12 3
Direct
0.112 0.112 0.112
0.888 0.888 0.888
0.500 0.500 0.500
0.121 0.634 0.634
0.125 0.125 0.632
0.125 0.632 0.125
0.366 0.366 0.879
0.366 0.879 0.366
0.368 0.875 0.875
0.632 0.125 0.125
0.634 0.121 0.634
0.634 0.634 0.121
0.875 0.368 0.875
0.875 0.875 0.368
0.879 0.366 0.366
0.000 0.500 0.500
0.500 0.000 0.500
0.500 0.500 0.000
```

## Properties
- energy of formation from the pure elements (meV per atom) = -12
- volume (A^3/atom) = 22.71
- uncorrected energy (eV per cell) = -98.36

***

Entry 10:
An optimized crystal structure of AcPaPdRh, computed with PBE.

Structure (POSCAR):
```
AcPaPdRh
1.0
0.000 3.611 3.611
3.611 0.000 3.611
3.611 3.611 0.000
Ac Pa Pd Rh
1 1 1 1
Direct
0.000 0.000 0.000
0.500 0.500 0.500
0.750 0.750 0.750
0.250 0.250 0.250
```

## Properties
- energy of formation from the pure elements (meV per atom) = -388
- volume (A^3/atom) = 23.55
- uncorrected energy (eV per cell) = -27.70

***

Entry 11:
An optimized crystal structure of Ac2PaPdS6, computed with PBE.

Structure (POSCAR):
```
Ac2PaPdS6
1.0
6.434 -3.381 0.000
6.434 3.381 0.000
-3.647 0.000 5.979
Ac Pa Pd S
2 1 1 6
Direct
0.242 0.242 0.208
0.758 0.758 0.792
0.000 0.000 0.500
0.500 0.500 0.000
0.192 0.670 0.172
0.228 0.228 0.611
0.330 0.808 0.828
0.670 0.192 0.172
0.772 0.772 0.389
0.808 0.330 0.828
```

## Properties
- ΔE_f (raw) (meV per atom) = -1584.5
- volume (A^3/atom) = 26.01
- uncorrected energy (eV per cell) = -63.52

***

Entry 12:
An optimized crystal structure of AcPa2PdS8, computed with PBE.

Structure (POSCAR):
```
AcPa2PdS8
1.0
6.203 0.000 0.000
-3.102 5.372 0.000
0.000 0.000 7.791
Ac Pa Pd S
1 2 1 8
Direct
0.000 0.000 0.000
0.333 0.667 0.389
0.667 0.333 0.611
0.000 0.000 0.500
0.175 0.351 0.679
0.175 0.825 0.679
0.333 0.667 0.068
0.351 0.175 0.321
0.649 0.825 0.679
0.667 0.333 0.932
0.825 0.175 0.321
0.825 0.649 0.321
```

## Properties
- ΔE_f (raw) (meV per atom) = -1180.0
- volume (A^3/atom) = 21.63
- uncorrected energy (eV per cell) = -75.47

***

Entry 13:
An optimized crystal structure of Ac2PaPd2S6, computed with PBE.

Structure (POSCAR):
```
Ac2PaPd2S6
1.0
7.379 0.000 0.000
-3.690 6.390 0.000
0.000 0.000 6.141
Ac Pa Pd S
2 1 2 6
Direct
0.333 0.667 0.331
0.667 0.333 0.669
0.000 0.000 0.500
0.333 0.667 0.831
0.667 0.333 0.169
0.060 0.731 0.729
0.269 0.329 0.729
0.329 0.060 0.271
0.671 0.940 0.729
0.731 0.671 0.271
0.940 0.269 0.271
```

## Properties
- ΔE_f (raw) (meV per atom) = -1325.7
- volume (A^3/atom) = 26.32
- uncorrected energy (eV per cell) = -67.45

***

Entry 14:
An optimized crystal structure of Ac2PaPdS5, computed with PBE.

Structure (POSCAR):
```
Ac2PaPdS5
1.0
2.024 -8.404 0.000
2.024 8.404 0.000
0.000 0.000 12.575
Ac Pa Pd S
4 2 2 10
Direct
0.112 0.888 0.500
0.120 0.880 0.852
0.880 0.120 0.352
0.888 0.112 0.000
0.179 0.821 0.175
0.821 0.179 0.675
0.439 0.561 0.573
0.561 0.439 0.073
0.021 0.979 0.174
0.300 0.700 0.523
0.305 0.695 0.827
0.342 0.658 0.175
0.495 0.505 0.900
0.505 0.495 0.400
0.658 0.342 0.675
0.695 0.305 0.327
0.700 0.300 0.023
0.979 0.021 0.674
```

## Properties
- ΔE_f (raw) (meV per atom) = -1732.9
- volume (A^3/atom) = 23.77
- uncorrected energy (eV per cell) = -118.28

***

Entry 15:
An optimized crystal structure of AcPaPdS4, computed with PBE.

Structure (POSCAR):
```
AcPaPdS4
1.0
6.519 0.000 0.000
0.000 6.211 0.000
-2.530 0.000 7.739
Ac Pa Pd S
2 2 2 8
Direct
0.242 0.250 0.056
0.758 0.750 0.944
0.240 0.250 0.558
0.760 0.750 0.442
0.229 0.750 0.316
0.771 0.250 0.684
0.041 0.521 0.727
0.041 0.979 0.727
0.444 0.750 0.127
0.460 0.750 0.605
0.540 0.250 0.395
0.556 0.250 0.873
0.959 0.021 0.273
0.959 0.479 0.273
```

## Properties
- ΔE_f (raw) (meV per atom) = -1475.4
- volume (A^3/atom) = 22.38
- uncorrected energy (eV per cell) = -91.27

***

Entry 16:
An optimized crystal structure of AcPaSbPd, computed with PBE.

Structure (POSCAR):
```
AcPaSbPd
1.0
0.000 3.817 3.817
3.817 0.000 3.817
3.817 3.817 0.000
Ac Pa Sb Pd
1 1 1 1
Direct
0.000 0.000 0.000
0.500 0.500 0.500
0.250 0.250 0.250
0.750 0.750 0.750
```

## Properties
- ΔE_f (raw) (meV per atom) = -332.7
- volume (A^3/atom) = 27.80
- uncorrected energy (eV per cell) = -24.25

***

Entry 17:
An optimized crystal structure of Ac2PaPdSe5, computed with PBE.

Structure (POSCAR):
```
Ac2PaPdSe5
1.0
2.093 -8.840 0.000
2.093 8.840 0.000
0.000 0.000 13.001
Ac Pa Pd Se
4 2 2 10
Direct
0.107 0.893 0.500
0.123 0.877 0.854
0.877 0.123 0.354
0.893 0.107 0.000
0.178 0.822 0.171
0.822 0.178 0.671
0.434 0.566 0.574
0.566 0.434 0.074
0.021 0.979 0.177
0.297 0.703 0.517
0.308 0.692 0.828
0.342 0.658 0.174
0.498 0.502 0.899
0.502 0.498 0.399
0.658 0.342 0.674
0.692 0.308 0.328
0.703 0.297 0.017
0.979 0.021 0.677
```

## Properties
- ΔE_f (raw) (meV per atom) = -1579.9
- volume (A^3/atom) = 26.72
- uncorrected energy (eV per cell) = -109.10

***

Entry 18:
An optimized crystal structure of Ac2PaPdSe6, computed with PBE.

Structure (POSCAR):
```
Ac2PaPdSe6
1.0
6.779 -3.592 0.000
6.779 3.592 0.000
-2.106 0.000 6.135
Ac Pa Pd Se
2 1 1 6
Direct
0.226 0.226 0.191
0.774 0.774 0.809
0.500 0.500 0.000
0.000 0.000 0.500
0.152 0.677 0.208
0.304 0.304 0.692
0.323 0.848 0.792
0.677 0.152 0.208
0.696 0.696 0.308
0.848 0.323 0.792
```

## Properties
- ΔE_f (raw) (meV per atom) = -1400.5
- volume (A^3/atom) = 29.88
- uncorrected energy (eV per cell) = -57.82

***

Entry 19:
An optimized crystal structure of Ac2PaZnPd6, computed with PBE.

Structure (POSCAR):
```
Ac2PaZnPd6
1.0
2.921 1.687 8.314
-2.921 1.687 8.314
0.000 -3.373 8.314
Ac Pa Zn Pd
2 1 1 6
Direct
0.211 0.211 0.211
0.789 0.789 0.789
0.000 0.000 0.000
0.500 0.500 0.500
0.253 0.253 0.745
0.253 0.745 0.253
0.255 0.747 0.747
0.745 0.253 0.253
0.747 0.255 0.747
0.747 0.747 0.255
```

## Properties
- energy of formation from the pure elements (meV per atom) = -518
- volume (A^3/atom) = 24.58
- uncorrected energy (eV per cell) = -55.32

***

Entry 20:
An optimized crystal structure of AcPmPa, computed with PBE.

Structure (POSCAR):
```
AcPmPa
1.0
-1.779 1.779 7.981
1.779 -1.779 7.981
1.779 1.779 -7.981
Ac Pm Pa
1 1 1
Direct
0.000 0.000 0.000
0.304 0.304 0.000
0.657 0.657 0.000
```

## Properties
- energy of formation from the pure elements (meV per atom) = 272
- energy relative to the lowest polymorph listed for this composition (eV/f.u.) = 0.00
- volume (A^3/atom) = 33.68
- uncorrected energy (eV per cell) = -17.54

***

Entry 21:
An optimized crystal structure of AcPmPa, computed with PBE.

Structure (POSCAR):
```
AcPmPa
1.0
6.047 0.000 0.000
1.489 6.024 0.000
0.989 2.855 5.589
Ac Pm Pa
2 2 2
Direct
0.248 0.137 0.325
0.752 0.863 0.675
0.226 0.775 0.017
0.774 0.225 0.983
0.314 0.447 0.639
0.686 0.553 0.361
```

## Properties
- energy of formation from the pure elements (meV per atom) = 328
- energy relative to the lowest polymorph listed for this composition (eV/f.u.) = 0.17
- volume (A^3/atom) = 33.93
- uncorrected energy (eV per cell) = -34.74

***

Entry 22:
An optimized crystal structure of Ac2PmPa, computed with PBE.

Structure (POSCAR):
```
Ac2PmPa
1.0
1.786 1.031 13.042
-1.786 1.031 13.042
0.000 -2.062 13.042
Ac Pm Pa
2 1 1
Direct
0.085 0.085 0.085
0.915 0.915 0.915
0.500 0.500 0.500
0.000 0.000 0.000
```

## Properties
- energy of formation from the pure elements (meV per atom) = 488
- volume (A^3/atom) = 36.02
- uncorrected energy (eV per cell) = -20.51

***

Entry 23:
An optimized crystal structure of AcPmPa, computed with PBE.

Structure (POSCAR):
```
AcPmPa
1.0
3.588 0.000 0.000
-1.794 3.108 0.000
0.000 0.000 8.986
Ac Pm Pa
1 1 1
Direct
0.000 0.000 0.000
0.667 0.333 0.374
0.333 0.667 0.680
```

## Properties
- energy of formation from the pure elements (meV per atom) = 281
- energy relative to the lowest polymorph listed for this composition (eV/f.u.) = 0.03
- volume (A^3/atom) = 33.40
- uncorrected energy (eV per cell) = -17.51

***

Entry 24:
An optimized crystal structure of Ac2PmPa2Rh5, computed with PBE.

Structure (POSCAR):
```
Ac2PmPa2Rh5
1.0
11.417 0.000 0.000
0.000 11.417 0.000
0.000 0.000 3.629
Ac Pm Pa Rh
4 2 4 10
Direct
0.173 0.327 0.000
0.327 0.827 0.000
0.673 0.173 0.000
0.827 0.673 0.000
0.000 0.000 0.000
0.500 0.500 0.000
0.134 0.634 0.000
0.366 0.134 0.000
0.634 0.866 0.000
0.866 0.366 0.000
0.000 0.500 0.500
0.053 0.788 0.500
0.212 0.053 0.500
0.288 0.553 0.500
0.447 0.288 0.500
0.500 0.000 0.500
0.553 0.712 0.500
0.712 0.447 0.500
0.788 0.947 0.500
0.947 0.212 0.500
```

## Properties
- energy of formation from the pure elements (meV per atom) = -575
- volume (A^3/atom) = 23.65
- uncorrected energy (eV per cell) = -148.93